## w
Below is a relaxed Ce2HgPt crystal, with properties calculated at the PBE-GGA level.

Properties
Density of states at the Fermi level: 12.65 states/eV/f.u.
Symmetry: Fm-3m

Unit cell a=5.2100 b=5.2100 c=5.2100 alpha=60.00 beta=60.00 gamma=60.00
Positions (direct):
Ce (0.2500, 0.2500, 0.2500)
Ce (0.7500, 0.7500, 0.7500)
Hg (0.0000, 0.0000, 0.0000)
Pt (0.5000, 0.5000, 0.5000)

## x
Below is a relaxed Ce2HgPt crystal, with properties calculated at the PBE-GGA level.

Properties
Density of states at the Fermi level: 13.36 states/eV/f.u.
Symmetry: R-3m

Unit cell a=8.3518 b=8.3518 c=8.3518 alpha=28.16 beta=28.16 gamma=28.16
Positions (direct):
Ce (0.2365, 0.2365, 0.2365)
Ce (0.7635, 0.7635, 0.7635)
Hg (0.0000, 0.0000, 0.0000)
Pt (0.5000, 0.5000, 0.5000)

## y
Below is a relaxed Ce2HgPt crystal, with properties calculated at the PBE-GGA level.

Properties
Density of states at the Fermi level: 13.97 states/eV/f.u.
Symmetry: R3m

Unit cell a=8.0987 b=8.0987 c=8.0987 alpha=29.72 beta=29.72 gamma=29.72
Positions (direct):
Ce (0.0000, 0.0000, 0.0000)
Ce (0.1949, 0.1949, 0.1949)
Hg (0.7650, 0.7650, 0.7650)
Pt (0.5978, 0.5978, 0.5978)

Relative energies, unit kJ/mol of atoms: w 3.6; x 0.0; y 0.7